1.
InAsW2 | meta-GGA SCAN | single point on PBEsol structure

## Properties
E_tot, eV/atom: -47.592
Formation enthalpy at 0 K, kJ/mol of formula units: 250
Space group: Imm2, No. 44
Calculated density, g cm⁻³: 13.74
Spin magnetization, μB/f.u.: 0.000

Cell: 5.2477 5.2477 5.2477 Å, 142.92 128.42 65.22°
Last column: nearest neighbours and their distance in Å.
Positions (direct):
In (0.0000, 0.0000, 0.0000)  8 W 2.83-3.08, 4 As 2.92-3.05
As (0.2712, 0.7712, 0.5000)  6 W 2.60-2.85
W (0.4972, 0.4972, 0.0000)  2 As 2.60, 2 W 2.67, 4 In 2.83
W (0.7337, 0.2337, 0.5000)  2 W 2.67, 4 As 2.85, 2 In 2.89

2.
ZnSiOs | meta-GGA SCAN | single point on PBEsol structure

## Properties
ΔE_f (raw), meV/atom: 91
E_tot, eV/atom: -31.713
Space group: P3m1, No. 156
Calculated density, g cm⁻³: 11.24
Spin magnetization, μB/f.u.: 0.000

Cell: 2.8335 2.8335 6.0268 Å, 90.00 90.00 120.00°
Last column: nearest neighbours and their distance in Å.
Positions (direct):
Zn (0.0000, 0.0000, 0.0000)  3 Si 2.68, 3 Os 2.68, 6 Zn 2.83
Si (0.6667, 0.3333, 0.3512)  3 Os 2.42, 3 Zn 2.68
Os (0.3333, 0.6667, 0.6477)  3 Si 2.42, 3 Zn 2.68

Question: What is the formula in the first record?
Answer: InAsW2